Entry 1:
## AcLa2Y (PBE-GGA)

Data for an optimized crystal structure of AcLa2Y.

a b c (Å): 6.014 6.014 6.014
angles (deg): 60.00 60.00 60.00
Fractional positions:
Ac 0.000 0.000 0.000
La 0.250 0.250 0.250
La 0.750 0.750 0.750
Y 0.500 0.500 0.500

Summary:
- spin magnetization (μB per formula unit) = 1.1
- D(E_F) (states/eV/f.u.) = 10.6
- polymorph energy (0 for the lowest one) (kJ per mole of atoms) = 12.5
- energy of formation (eV/atom) = 0.147


Entry 2:
## Ac12La5Y (PBE-GGA)

Data for an optimized crystal structure of Ac12La5Y.

a b c (Å): 6.300 11.819 11.819
angles (deg): 60.49 90.00 90.00
Fractional positions:
Ac 0.000 0.162 0.838
Ac 0.000 0.171 0.495
Ac 0.000 0.495 0.171
Ac 0.000 0.504 0.829
Ac 0.000 0.829 0.504
Ac 0.000 0.838 0.162
Ac 0.500 0.279 0.954
Ac 0.500 0.286 0.611
Ac 0.500 0.611 0.286
Ac 0.500 0.618 0.946
Ac 0.500 0.946 0.618
Ac 0.500 0.954 0.279
La 0.000 0.173 0.173
La 0.000 0.504 0.504
La 0.000 0.839 0.839
La 0.500 0.611 0.611
La 0.500 0.944 0.944
Y 0.500 0.279 0.279

Summary:
- spin magnetization (μB per formula unit) = 0.0
- D(E_F) (states/eV/f.u.) = 31.2
- energy of formation (eV/atom) = 0.038


Entry 3:
## AcLa4Y (PBE-GGA)

Data for an optimized crystal structure of AcLa4Y.

a b c (Å): 3.676 5.679 10.901
angles (deg): 90.00 99.63 90.00
Fractional positions:
Ac 0.000 0.000 0.000
La 0.170 0.000 0.338
La 0.412 0.500 0.826
La 0.595 0.500 0.190
La 0.824 0.000 0.652
Y 0.248 0.500 0.502

Summary:
- spin magnetization (μB per formula unit) = 0.0
- D(E_F) (states/eV/f.u.) = 9.4
- polymorph energy (0 for the lowest one) (kJ per mole of atoms) = 1.8
- energy of formation (eV/atom) = 0.039


Entry 4:
## Ac4LaY5 (PBE-GGA)

Data for an optimized crystal structure of Ac4LaY5.

a b c (Å): 8.708 8.708 10.596
angles (deg): 126.76 126.76 39.61
Fractional positions:
Ac 0.246 0.246 0.381
Ac 0.251 0.251 0.861
Ac 0.749 0.749 0.139
Ac 0.754 0.754 0.619
La 0.000 0.000 0.500
Y 0.056 0.056 0.904
Y 0.446 0.446 0.288
Y 0.500 0.500 0.000
Y 0.554 0.554 0.712
Y 0.944 0.944 0.096

Summary:
- spin magnetization (μB per formula unit) = 0.0
- D(E_F) (states/eV/f.u.) = 18.2
- energy of formation (eV/atom) = 0.228


Entry 5:
## AcLa7Y2 (PBE-GGA)

Data for an optimized crystal structure of AcLa7Y2.

a b c (Å): 9.725 9.725 7.834
angles (deg): 113.71 113.71 34.36
Fractional positions:
Ac 0.000 0.000 0.000
La 0.155 0.155 0.655
La 0.370 0.370 0.070
La 0.370 0.370 0.669
La 0.500 0.500 0.500
La 0.630 0.630 0.331
La 0.630 0.630 0.930
La 0.845 0.845 0.345
Y 0.214 0.214 0.214
Y 0.786 0.786 0.786

Summary:
- spin magnetization (μB per formula unit) = 0.0
- D(E_F) (states/eV/f.u.) = 15.5
- energy of formation (eV/atom) = 0.155


Entry 6:
## Ac7La4Y (PBE-GGA)

Data for an optimized crystal structure of Ac7La4Y.

a b c (Å): 7.087 7.212 10.117
angles (deg): 103.53 93.05 92.88
Fractional positions:
Ac 0.000 0.000 0.000
Ac 0.142 0.794 0.409
Ac 0.261 0.512 0.067
Ac 0.324 0.282 0.376
Ac 0.676 0.718 0.624
Ac 0.739 0.488 0.933
Ac 0.858 0.206 0.591
La 0.200 0.615 0.731
La 0.340 0.141 0.723
La 0.660 0.859 0.277
La 0.800 0.385 0.269
Y 0.500 0.000 0.000

Summary:
- spin magnetization (μB per formula unit) = 0.0
- D(E_F) (states/eV/f.u.) = 20.3
- energy of formation (eV/atom) = 0.091


Entry 7:
## Ac2La5Y2 (PBE-GGA)

Data for an optimized crystal structure of Ac2La5Y2.

a b c (Å): 11.608 11.608 8.437
angles (deg): 97.70 97.70 18.26
Fractional positions:
Ac 0.178 0.178 0.138
Ac 0.822 0.822 0.862
La 0.000 0.000 0.000
La 0.089 0.089 0.729
La 0.310 0.310 0.461
La 0.690 0.690 0.539
La 0.911 0.911 0.271
Y 0.450 0.450 0.648
Y 0.550 0.550 0.352

Summary:
- spin magnetization (μB per formula unit) = 0.0
- D(E_F) (states/eV/f.u.) = 12.6
- energy of formation (eV/atom) = 0.185


Entry 8:
## Ac2La3Y (PBE-GGA)

Data for an optimized crystal structure of Ac2La3Y.

a b c (Å): 7.330 10.500 6.012
angles (deg): 90.00 90.00 90.00
Fractional positions:
Ac 0.248 0.167 0.000
Ac 0.252 0.667 0.500
Ac 0.748 0.333 0.500
Ac 0.752 0.833 0.000
La 0.000 0.500 0.000
La 0.249 0.834 0.000
La 0.251 0.334 0.500
La 0.500 0.000 0.500
La 0.749 0.666 0.500
La 0.751 0.166 0.000
Y 0.000 0.000 0.500
Y 0.500 0.500 0.000

Summary:
- spin magnetization (μB per formula unit) = 0.0
- D(E_F) (states/eV/f.u.) = 9.3
- polymorph energy (0 for the lowest one) (kJ per mole of atoms) = 0.0
- energy of formation (eV/atom) = 0.076


Entry 9:
## AcLa2Y (PBE-GGA)

Data for an optimized crystal structure of AcLa2Y.

a b c (Å): 5.292 5.292 5.329
angles (deg): 90.00 90.00 90.00
Fractional positions:
Ac 0.000 0.000 0.000
La 0.000 0.500 0.500
La 0.500 0.000 0.500
Y 0.500 0.500 0.000

Summary:
- spin magnetization (μB per formula unit) = 0.0
- D(E_F) (states/eV/f.u.) = 5.3
- polymorph energy (0 for the lowest one) (kJ per mole of atoms) = 0.0
- energy of formation (eV/atom) = 0.016


Entry 10:
## AcLaY2 (PBE-GGA)

Data for an optimized crystal structure of AcLaY2.

a b c (Å): 5.920 5.920 5.920
angles (deg): 60.00 60.00 60.00
Fractional positions:
Ac 0.000 0.000 0.000
La 0.500 0.500 0.500
Y 0.250 0.250 0.250
Y 0.750 0.750 0.750

Summary:
- spin magnetization (μB per formula unit) = 0.0
- D(E_F) (states/eV/f.u.) = 6.9
- polymorph energy (0 for the lowest one) (kJ per mole of atoms) = 5.1
- energy of formation (eV/atom) = 0.081


Entry 11:
## Ac2La3Y4 (PBE-GGA)

Data for an optimized crystal structure of Ac2La3Y4.

a b c (Å): 10.585 10.585 10.585
angles (deg): 160.43 122.57 61.27
Fractional positions:
Ac 0.175 0.000 0.175
Ac 0.825 0.000 0.825
La 0.162 0.662 0.500
La 0.500 0.500 0.000
La 0.838 0.338 0.500
Y 0.155 0.829 0.326
Y 0.497 0.171 0.326
Y 0.503 0.829 0.674
Y 0.845 0.171 0.674

Summary:
- spin magnetization (μB per formula unit) = 0.0
- D(E_F) (states/eV/f.u.) = 16.6
- polymorph energy (0 for the lowest one) (kJ per mole of atoms) = 7.5
- energy of formation (eV/atom) = 0.159